A plane-wave DFT calculation with PBE was carried out for LiBr2Cl after structural relaxation.

The calculation puts the magnetization at 0.00 μB per formula unit. For the density of states at the Fermi level, the calculation gives 4.3 states/eV/cell. The uncorrected formation energy comes out at -0.652 eV per atom. The value obtained for the energy relative to the lowest polymorph listed for this composition is 0.1322 eV/atom.

a b c (Å): 2.8117 3.5549 11.9315
angles (deg): 90.00 90.00 90.00
Last column: nearest neighbours and their distance in Å.
Space group Pmm2 (No. 25)
Asymmetric unit:
Li: 0.0000 0.0000 0.0000 [1 per cell]  4 Cl 2.41, 1 Br 2.57
Br: 0.0000 0.0000 0.2150 [1 per cell]  1 Li 2.57, 2 Br 2.81
Br: 0.5000 0.5000 0.5609 [1 per cell]  2 Br 2.81
Cl: 0.5000 0.5000 0.9303 [1 per cell]  4 Li 2.41